1.
This record from OQMD via LeMat-Bulk describes a relaxed structure of La2Nd2Se3S4. The functional is PBE.

It has space group Amm2 (No. 38), with a = 10.127 Å, b = 4.376 Å, c = 13.801 Å, α = 90.00°, β = 90.00° and γ = 90.00°. The distinct sites, in fractional coordinates, are La at (0.000, 0.000, 0.000), La at (0.500, 0.000, 0.016), Nd at (0.262, 0.000, 0.297), Se at (0.122, 0.000, 0.650), Se at (0.500, 0.000, 0.677), S at (0.000, 0.000, 0.366), S at (0.254, 0.000, 0.922) and S at (0.500, 0.000, 0.392).

---

2.
This record from OQMD via LeMat-Bulk describes a relaxed structure of NaPrCdS3. The functional is PBE.

The energy above the most stable polymorph in this dataset comes out at 8 meV per atom.

It has space group Pnma (No. 62), with a = 14.249 Å, b = 4.151 Å, c = 11.446 Å, α = 90.00°, β = 90.00° and γ = 90.00°. The distinct sites, in fractional coordinates, are Na at (0.210, 0.250, 0.195), Pr at (0.044, 0.750, 0.853), Cd at (0.040, 0.250, 0.599), S at (0.067, 0.250, 0.374), S at (0.088, 0.750, 0.090) and S at (0.162, 0.250, 0.760).

---

Q: Which total moment values were calculated for the entries above? A: 0.00; 0.00, in μB/f.u..
Q: Which raw total energy values were calculated for the entries above? A: -66.26; -27.27, in eV/f.u..